First-principles (GGA+U) data for a relaxed Ca2MnAl2Si3HO13 crystal, as listed in the Alexandria database.

Summary:
**Electronic total energy**: -7.39 eV per atom
**Magnetization**: 8.0 μB per cell
**Space-group type**: P2_1/m, No. 11

Cell lengths 8.935, 5.767, 10.242 Å; angles 90.00, 115.59, 90.00 degrees
Fractional coordinates of all 44 atoms:
Ca  0.096  0.250  0.428
Ca  0.252  0.250  0.152
Ca  0.748  0.750  0.848
Ca  0.904  0.750  0.572
Mn  0.203  0.250  0.779
Mn  0.797  0.750  0.221
Al  0.500  0.000  0.000
Al  0.500  0.000  0.500
Al  0.500  0.500  0.000
Al  0.500  0.500  0.500
Si  0.161  0.750  0.955
Si  0.185  0.750  0.273
Si  0.313  0.750  0.680
Si  0.687  0.250  0.320
Si  0.815  0.250  0.727
Si  0.839  0.250  0.045
H  0.438  0.250  0.669
H  0.562  0.750  0.331
O  0.012  0.250  0.186
O  0.032  0.750  0.318
O  0.112  0.750  0.094
O  0.191  0.522  0.642
O  0.191  0.978  0.642
O  0.271  0.510  0.969
O  0.271  0.990  0.969
O  0.299  0.518  0.334
O  0.299  0.982  0.334
O  0.410  0.250  0.565
O  0.430  0.750  0.591
O  0.440  0.250  0.869
O  0.455  0.750  0.855
O  0.545  0.250  0.145
O  0.560  0.750  0.131
O  0.570  0.250  0.409
O  0.590  0.750  0.435
O  0.701  0.018  0.666
O  0.701  0.482  0.666
O  0.729  0.010  0.031
O  0.729  0.490  0.031
O  0.809  0.022  0.358
O  0.809  0.478  0.358
O  0.888  0.250  0.906
O  0.968  0.250  0.682
O  0.988  0.750  0.814